PBE-GGA Sc2Zn2Se, relaxed; calculated total energy = -3.479 eV/atom
1.0
0.0000 5.6249 6.9723
2.7102 0.0000 6.9723
2.7102 5.6249 0.0000
Sc Zn Se
4 4 2
Direct
0.0354 0.7146 0.0354
0.2854 0.9646 0.2854
0.7146 0.0354 0.7146
0.9646 0.2854 0.9646
0.0000 0.5000 0.5000
0.5000 0.0000 0.5000
0.5000 0.5000 0.0000
0.5000 0.5000 0.5000
0.3750 0.3750 0.3750
0.6250 0.6250 0.6250